No. 1
Computed, not measured: a relaxed structure of NdDyPt2 at the PBE level of DFT.

Energy of formation from the pure elements: -1208 meV per atom
E above lowest polymorph: 10 meV per atom
DFT total energy: -6.577 eV/atom

abc: 4.5657 5.6493 7.1828
angles: 90.00 90.00 90.00
Last column: nearest neighbours and their distance in Å.
Fractional positions:
Dy  0.0000  0.8908  0.8169  7 Pt 2.94-3.07
Dy  0.0000  0.1092  0.3169  7 Pt 2.94-3.07
Pt  0.5000  0.9070  0.5451  3 Nd 2.90-3.10, 2 Pt 2.94, 4 Dy 3.01-3.03
Pt  0.0000  0.4010  0.9565  2 Pt 2.94, 3 Dy 2.94-3.07, 4 Nd 3.02-3.04
Pt  0.0000  0.5990  0.4565  2 Pt 2.94, 3 Dy 2.94-3.07, 4 Nd 3.02-3.04
Pt  0.5000  0.0930  0.0451  3 Nd 2.90-3.10, 2 Pt 2.94, 4 Dy 3.01-3.03
Nd  0.5000  0.6107  0.1814  7 Pt 2.90-3.10
Nd  0.5000  0.3893  0.6814  7 Pt 2.90-3.10

***

No. 2
Computed, not measured: a relaxed structure of NdDyPt2 at the PBE level of DFT.

Energy of formation from the pure elements: -1218 meV per atom
E above lowest polymorph: 0 meV per atom
DFT total energy: -6.587 eV/atom

abc: 4.5648 7.1971 5.6383
angles: 90.00 90.00 90.00
Last column: nearest neighbours and their distance in Å.
Fractional positions:
Pt  0.0000  0.2202  0.6552  2 Pt 2.94, 4 Nd 2.94-3.10, 3 Dy 2.98-3.00
Pt  0.5000  0.7798  0.1552  2 Pt 2.94, 4 Nd 2.94-3.10, 3 Dy 2.98-3.00
Pt  0.0000  0.6919  0.8454  4 Dy 2.89-3.03, 2 Pt 2.94, 3 Nd 3.08-3.19
Pt  0.5000  0.3081  0.3454  4 Dy 2.89-3.03, 2 Pt 2.94, 3 Nd 3.08-3.19
Nd  0.5000  0.9307  0.6404  7 Pt 2.94-3.19
Nd  0.0000  0.0693  0.1404  7 Pt 2.94-3.19
Dy  0.0000  0.5666  0.3591  7 Pt 2.89-3.03
Dy  0.5000  0.4334  0.8591  7 Pt 2.89-3.03

***

No. 3
Computed, not measured: a relaxed structure of NdDy2Sn3Pt3 at the PBE level of DFT.

DFT total energy: -5.984 eV/atom

abc: 4.0692 7.5593 7.5593
angles: 120.22 90.00 90.00
Last column: nearest neighbours and their distance in Å.
Fractional positions:
Dy  0.0000  0.0006  0.5938  5 Pt 3.04-3.05, 6 Sn 3.26-3.38
Dy  0.0000  0.5938  0.0006  5 Pt 3.04-3.05, 6 Sn 3.26-3.38
Nd  0.0000  0.4087  0.4087  5 Pt 3.10-3.12, 6 Sn 3.24-3.39
Sn  0.5000  0.2560  0.9990  4 Pt 2.80-2.87
Sn  0.5000  0.7433  0.7433  4 Pt 2.78-2.88
Sn  0.5000  0.9990  0.2560  4 Pt 2.80-2.87
Pt  0.0000  0.9952  0.9952  6 Sn 2.78-2.82, 2 Dy 3.05, 1 Nd 3.12
Pt  0.5000  0.3312  0.6723  3 Sn 2.80-2.88, 4 Dy 3.04-3.05, 2 Nd 3.10
Pt  0.5000  0.6723  0.3312  3 Sn 2.80-2.88, 4 Dy 3.04-3.05, 2 Nd 3.10